Entry 1:
Entry from the Alexandria database: an optimized crystal structure of Ce3Dy4HoS8 (PBE).

Lattice parameters (Å, degrees): 7.8785 7.9059 7.8781 119.88 120.00 90.00
Closest atoms and distances in Å follow each position.
Element x y z (fractional)
Ce (0.5000, 0.5000, 0.0000)  6 S 2.83
Ce (0.5000, 0.5000, 0.5000)  6 S 2.83
Ce (0.0000, 0.5000, 0.5000)  6 S 2.83
Dy (0.5000, 0.0000, 0.0000)  6 S 2.80
Dy (0.5000, 0.0000, 0.5000)  6 S 2.75
Dy (0.0000, 0.0000, 0.0000)  6 S 2.75
Dy (0.0000, 0.0000, 0.5000)  6 S 2.75
Ho (0.0000, 0.5000, 0.0000)  6 S 2.78
S (0.2494, 0.7566, 0.0072)  3 Dy 2.75-2.80, 1 Ho 2.78, 2 Ce 2.83
S (0.2494, 0.7565, 0.4988)  3 Dy 2.75-2.80, 1 Ho 2.78, 2 Ce 2.83
S (0.2462, 0.2387, 0.4924)  3 Dy 2.75, 3 Ce 2.83
S (0.7578, 0.7566, 0.0072)  3 Dy 2.75-2.80, 1 Ho 2.78, 2 Ce 2.83
S (0.2422, 0.2434, 0.9928)  3 Dy 2.75-2.80, 1 Ho 2.78, 2 Ce 2.83
S (0.7538, 0.7613, 0.5076)  3 Dy 2.75, 3 Ce 2.83
S (0.7506, 0.2435, 0.5012)  3 Dy 2.75-2.80, 1 Ho 2.78, 2 Ce 2.83
S (0.7506, 0.2434, 0.9928)  3 Dy 2.75-2.80, 1 Ho 2.78, 2 Ce 2.83

**Formation energy from raw total energies**: -46.5 kcal/mol of atoms
**Crystal system**: trigonal
**Space group**: No. 166



Entry 2:
Entry from the Alexandria database: an optimized crystal structure of KTm2AgSe4 (PBE).

Lattice parameters (Å, degrees): 4.1513 7.2703 14.7185 90.00 90.00 106.59
Closest atoms and distances in Å follow each position.
Element x y z (fractional)
K (0.1227, 0.2453, 0.7500)  6 Se 3.18-3.40
K (0.8773, 0.7547, 0.2500)  6 Se 3.18-3.40
Tm (0.3692, 0.7383, 0.5682)  6 Se 2.84-2.94
Tm (0.6308, 0.2617, 0.0682)  6 Se 2.84-2.94
Tm (0.6308, 0.2617, 0.4318)  6 Se 2.84-2.94
Tm (0.3692, 0.7383, 0.9318)  6 Se 2.84-2.94
Ag (0.8375, 0.6751, 0.7500)  4 Se 2.60-2.62
Ag (0.1625, 0.3249, 0.2500)  4 Se 2.60-2.62
Se (0.2652, 0.5304, 0.1011)  1 Ag 2.62, 3 Tm 2.84-2.88
Se (0.7348, 0.4696, 0.6011)  1 Ag 2.62, 3 Tm 2.84-2.88
Se (0.7348, 0.4696, 0.8989)  1 Ag 2.62, 3 Tm 2.84-2.88
Se (0.2652, 0.5304, 0.3989)  1 Ag 2.62, 3 Tm 2.84-2.88
Se (0.0000, 0.0000, 0.5000)  4 Tm 2.94
Se (0.0000, 0.0000, 0.0000)  4 Tm 2.94
Se (0.4497, 0.8994, 0.7500)  2 Ag 2.60, 2 Tm 2.90
Se (0.5503, 0.1006, 0.2500)  2 Ag 2.60, 2 Tm 2.90

**Formation energy from raw total energies**: -33.3 kcal/mol of atoms
**Crystal system**: orthorhombic
**Space group**: No. 63